(1)
DFT (PBE) results for an optimized crystal structure of PmHoTeO2.

Results
Magnetic moment in μB/f.u.: 0.00
DFT total energy in eV/cell: -37.1
Space-group type: I4mm (107)

Unit cell a=6.8804 b=6.8804 c=6.8804 alpha=146.60 beta=146.60 gamma=47.95
Element x y z (fractional)
O: 0.2462 0.7462 0.5000
Te: 0.0017 0.0017 0.0000
Ho: 0.6640 0.6640 0.0000
O: 0.7462 0.2462 0.5000
Pm: 0.3419 0.3419 0.0000


(2)
DFT (PBE) results for an optimized crystal structure of Pr2Ho2O5.

Results
Magnetic moment in μB/f.u.: 1.15
DFT total energy in eV/cell: -67.9
Space-group type: P4/mmm (123)

Unit cell a=10.4149 b=3.8762 c=3.8762 alpha=90.00 beta=90.00 gamma=90.00
Element x y z (fractional)
O: 0.1306 0.0000 0.5000
O: 0.8694 0.0000 0.5000
O: 0.8694 0.5000 0.0000
Ho: 0.0000 0.0000 0.0000
Pr: 0.2380 0.5000 0.5000
Pr: 0.7620 0.5000 0.5000
O: 0.1306 0.5000 0.0000
O: 0.5000 0.5000 0.5000
Ho: 0.5000 0.0000 0.0000


(3)
DFT (PBE) results for an optimized crystal structure of Pr3HoO6.

Results
Magnetic moment in μB/f.u.: 0.00
DFT total energy in eV/cell: -165.2
Space-group type: R-3 (148)

Unit cell a=6.9558 b=6.9558 c=6.9558 alpha=91.88 beta=91.88 gamma=91.88
Element x y z (fractional)
Ho: 0.5000 0.5000 0.5000
Pr: 0.9362 0.4429 0.7478
O: 0.9108 0.3073 0.0659
Pr: 0.0638 0.5571 0.2522
Pr: 0.4429 0.7478 0.9362
Pr: 0.2522 0.0638 0.5571
O: 0.4662 0.8079 0.5959
O: 0.5338 0.1921 0.4041
O: 0.0892 0.6927 0.9341
O: 0.4041 0.5338 0.1921
O: 0.0659 0.9108 0.3073
O: 0.9341 0.0892 0.6927
O: 0.3073 0.0659 0.9108
Ho: 0.0000 0.0000 0.0000
Pr: 0.7478 0.9362 0.4429
O: 0.6927 0.9341 0.0892
O: 0.1921 0.4041 0.5338
Pr: 0.5571 0.2522 0.0638
O: 0.8079 0.5959 0.4662
O: 0.5959 0.4662 0.8079


(4)
DFT (PBE) results for an optimized crystal structure of Pr2Ho2O5.

Results
Magnetic moment in μB/f.u.: 0.00
DFT total energy in eV/cell: -68.4
Space-group type: P4/mmm (123)

Unit cell a=7.7293 b=4.3170 c=4.3170 alpha=90.00 beta=90.00 gamma=90.00
Element x y z (fractional)
O: 0.2454 0.5000 0.0000
Ho: 0.2301 0.5000 0.5000
Pr: 0.0000 0.0000 0.0000
O: 0.7546 0.5000 0.0000
Pr: 0.5000 0.0000 0.0000
O: 0.7546 0.0000 0.5000
O: 0.2454 0.0000 0.5000
O: 0.5000 0.5000 0.5000
Ho: 0.7699 0.5000 0.5000


(5)
DFT (PBE) results for an optimized crystal structure of HoPt2O4.

Results
Magnetic moment in μB/f.u.: 2.39
DFT total energy in eV/cell: -86.3
Space-group type: I4_1/amd (141)

Unit cell a=6.5128 b=6.5128 c=6.5128 alpha=120.08 beta=89.86 gamma=120.08
Element x y z (fractional)
O: 0.1373 0.2739 0.8634
O: 0.6127 0.2261 0.3866
O: 0.1605 0.7739 0.3866
O: 0.5895 0.7261 0.8634
Pt: 0.3750 0.2500 0.6250
O: 0.6134 0.2261 0.8395
O: 0.1366 0.2739 0.4105
Ho: 0.7500 0.5000 0.2500
Pt: 0.3750 0.7500 0.6250
Pt: 0.8750 0.2500 0.6250
O: 0.1366 0.7261 0.8627
Ho: 0.0000 0.0000 0.0000
O: 0.6134 0.7739 0.3873
Pt: 0.3750 0.7500 0.1250


(6)
DFT (PBE) results for an optimized crystal structure of Rb2HoO4.

Results
Magnetic moment in μB/f.u.: 3.00
DFT total energy in eV/cell: -70.7
Space-group type: Fd-3m (227)

Unit cell a=7.5706 b=7.5706 c=7.5706 alpha=120.04 beta=89.93 gamma=120.04
Element x y z (fractional)
O: 0.1142 0.2286 0.3428
Rb: 0.3750 0.7500 0.6250
O: 0.6356 0.2714 0.3642
O: 0.0928 0.7286 0.3642
O: 0.1142 0.7714 0.8856
Rb: 0.3750 0.7500 0.1250
O: 0.6358 0.7286 0.3644
Rb: 0.8750 0.2500 0.6250
Rb: 0.3750 0.2500 0.6250
O: 0.6358 0.2714 0.9072
O: 0.6572 0.7714 0.8858
Ho: 0.0000 0.0000 0.0000
O: 0.1144 0.2286 0.8858
Ho: 0.7500 0.5000 0.2500


(7)
DFT (PBE) results for an optimized crystal structure of RbHoSe2O8.

Results
Magnetic moment in μB/f.u.: 0.00
DFT total energy in eV/cell: -70.6
Space-group type: P-3m1 (164)

Unit cell a=5.6506 b=5.6506 c=7.5843 alpha=90.00 beta=90.00 gamma=120.00
Element x y z (fractional)
Rb: 0.0000 0.0000 0.5000
Se: 0.6667 0.3333 0.2609
O: 0.8253 0.6506 0.1812
O: 0.6667 0.3333 0.4770
O: 0.1747 0.8253 0.8188
O: 0.3494 0.1747 0.1812
O: 0.6506 0.8253 0.8188
O: 0.8253 0.1747 0.1812
O: 0.3333 0.6667 0.5230
O: 0.1747 0.3494 0.8188
Ho: 0.0000 0.0000 0.0000
Se: 0.3333 0.6667 0.7391


(8)
DFT (PBE) results for an optimized crystal structure of Ho6ReO12.

Results
Magnetic moment in μB/f.u.: 1.00
DFT total energy in eV/cell: -160.1
Space-group type: R-3 (148)

Unit cell a=6.3911 b=6.3911 c=6.3911 alpha=98.72 beta=98.72 gamma=98.72
Element x y z (fractional)
O: 0.7015 0.0357 0.9262
O: 0.0738 0.2985 0.9643
Ho: 0.8562 0.6850 0.3885
Ho: 0.3150 0.6115 0.1438
Ho: 0.6115 0.1438 0.3150
O: 0.5894 0.4324 0.1773
O: 0.9262 0.7015 0.0357
Re: 0.0000 0.0000 0.0000
O: 0.4324 0.1773 0.5894
Ho: 0.1438 0.3150 0.6115
O: 0.0357 0.9262 0.7015
Ho: 0.6850 0.3885 0.8562
O: 0.5676 0.8227 0.4106
O: 0.2985 0.9643 0.0738
O: 0.4106 0.5676 0.8227
O: 0.1773 0.5894 0.4324
O: 0.8227 0.4106 0.5676
Ho: 0.3885 0.8562 0.6850
O: 0.9643 0.0738 0.2985


> Which of these has the highest DFT total energy?

PmHoTeO2


> Which of these has the highest magnetic moment?

Rb2HoO4


> Which formula does entry 4 have?

Pr2Ho2O5